[1]
First-principles (PBE) data for MnRh2Se after structural relaxation, as listed in Alexandria.

Cell and atoms, written as POSCAR:
```
MnRh2Se
1.0
-1.884 1.884 4.218
1.884 -1.884 4.218
1.884 1.884 -4.218
Mn Rh Se
1 2 1
direct
0.000 0.000 0.000
0.250 0.750 0.500
0.500 0.500 0.000
0.750 0.250 0.500
```

## Properties
Its space group is I-4m2, No. 119. The size of the total moment is 4.18 μB per cell. As for the raw formation energy: 4.8 kJ per mole of atoms. The calculation puts the calculated density at 9.42 g/cm3.

[2]
First-principles (PBE) data for MnRh2Se after structural relaxation, as listed in Alexandria.

Cell and atoms, written as POSCAR:
```
MnRh2Se
1.0
-1.528 2.168 4.517
1.528 -2.168 4.517
1.528 2.168 -4.517
Mn Rh Se
1 2 1
direct
0.000 0.000 0.000
0.460 0.460 0.000
0.735 0.235 0.500
0.244 0.744 0.500
```

## Properties
Its space group is Imm2, No. 44. The size of the total moment is 4.11 μB per cell. As for the raw formation energy: -2.8 kJ per mole of atoms. The calculation puts the calculated density at 9.42 g/cm3.

[3]
First-principles (PBE) data for MnSiRhSe2 after structural relaxation, as listed in Alexandria.

Cell and atoms, written as POSCAR:
```
MnSiRhSe2
1.0
5.101 0.000 0.000
0.000 5.101 0.000
0.000 0.000 4.375
Mn Si Rh Se
1 1 1 2
direct
0.000 0.000 0.000
0.500 0.500 0.000
0.500 0.500 0.500
0.000 0.500 0.500
0.500 0.000 0.500
```

## Properties
Its space group is P4/mmm, No. 123. The size of the total moment is 4.67 μB per cell. As for the raw formation energy: 43.2 kJ per mole of atoms. The calculation puts the calculated density at 5.02 g/cm3.

[4]
First-principles (PBE) data for SrMn2RhSe8 after structural relaxation, as listed in Alexandria.

Cell and atoms, written as POSCAR:
```
SrMn2RhSe8
1.0
6.094 0.000 0.000
-3.047 5.278 0.000
0.000 0.000 8.840
Sr Mn Rh Se
1 2 1 8
direct
0.000 0.000 0.000
0.333 0.667 0.751
0.667 0.333 0.249
0.000 0.000 0.500
0.020 0.683 0.329
0.317 0.336 0.329
0.333 0.667 0.001
0.336 0.020 0.671
0.664 0.980 0.329
0.667 0.333 0.999
0.683 0.664 0.671
0.980 0.317 0.671
```

## Properties
Its space group is P-3, No. 147. The size of the total moment is 3.04 μB per cell. As for the raw formation energy: -42.2 kJ per mole of atoms. The calculation puts the calculated density at 5.44 g/cm3.

[5]
First-principles (PBE) data for TaMnRhSe2 after structural relaxation, as listed in Alexandria.

Cell and atoms, written as POSCAR:
```
TaMnRhSe2
1.0
4.795 0.000 0.000
0.000 4.795 0.000
0.000 0.000 4.631
Ta Mn Rh Se
1 1 1 2
direct
0.000 0.000 0.000
0.500 0.500 0.000
0.500 0.500 0.500
0.000 0.500 0.500
0.500 0.000 0.500
```

## Properties
Its space group is P4/mmm, No. 123. The size of the total moment is 2.02 μB per cell. As for the raw formation energy: 85.6 kJ per mole of atoms. The calculation puts the calculated density at 7.75 g/cm3.

[6]
First-principles (PBE) data for Mn2SiRh after structural relaxation, as listed in Alexandria.

Cell and atoms, written as POSCAR:
```
Mn2SiRh
1.0
-3.381 3.381 2.486
3.381 -3.381 2.486
3.381 3.381 -2.486
Mn Si Rh
4 2 2
direct
0.107 0.125 0.482
0.375 0.893 0.018
0.643 0.625 0.518
0.875 0.357 0.982
0.000 0.000 0.000
0.750 0.250 0.500
0.250 0.750 0.500
0.500 0.500 0.000
```

## Properties
Its space group is I-42d, No. 122. The size of the total moment is 12.14 μB per cell. As for the raw formation energy: 15.5 kJ per mole of atoms. The calculation puts the calculated density at 7.04 g/cm3.

[7]
First-principles (PBE) data for MnSi2Rh after structural relaxation, as listed in Alexandria.

Cell and atoms, written as POSCAR:
```
MnSi2Rh
1.0
-1.477 1.648 5.444
1.477 -1.648 5.444
1.477 1.648 -5.444
Mn Si Rh
1 2 1
direct
0.000 0.000 0.000
0.576 0.576 0.000
0.837 0.337 0.500
0.244 0.744 0.500
```

## Properties
Its space group is Imm2, No. 44. The size of the total moment is 0.00 μB per cell. As for the raw formation energy: -41.8 kJ per mole of atoms. The calculation puts the calculated density at 6.71 g/cm3.

[8]
First-principles (PBE) data for MnSi2Rh after structural relaxation, as listed in Alexandria.

Cell and atoms, written as POSCAR:
```
MnSi2Rh
1.0
-1.760 1.760 4.133
1.760 -1.760 4.133
1.760 1.760 -4.133
Mn Si Rh
1 2 1
direct
0.000 0.000 0.000
0.500 0.500 0.000
0.750 0.250 0.500
0.250 0.750 0.500
```

## Properties
Its space group is I-4m2, No. 119. The size of the total moment is 2.32 μB per cell. As for the raw formation energy: -34.3 kJ per mole of atoms. The calculation puts the calculated density at 6.94 g/cm3.

[9]
First-principles (PBE) data for MnSi4Rh after structural relaxation, as listed in Alexandria.

Cell and atoms, written as POSCAR:
```
MnSi4Rh
1.0
0.000 3.450 3.450
3.450 0.000 3.450
3.450 3.450 0.000
Mn Si Rh
1 4 1
direct
0.000 0.000 0.000
0.375 0.375 0.375
0.375 0.375 0.874
0.375 0.874 0.375
0.874 0.375 0.375
0.750 0.750 0.750
```

## Properties
Its space group is F-43m, No. 216. The size of the total moment is 2.65 μB per cell. As for the raw formation energy: 29.3 kJ per mole of atoms. The calculation puts the calculated density at 5.46 g/cm3.

[10]
First-principles (PBE) data for Mn2SiRh after structural relaxation, as listed in Alexandria.

Cell and atoms, written as POSCAR:
```
Mn2SiRh
1.0
2.650 0.000 0.000
0.000 2.650 0.000
0.000 0.000 6.910
Mn Si Rh
2 1 1
direct
0.000 0.000 0.233
0.000 0.000 0.767
0.500 0.500 0.000
0.500 0.500 0.500
```

## Properties
Its space group is P4/mmm, No. 123. The size of the total moment is 3.19 μB per cell. As for the raw formation energy: -18.7 kJ per mole of atoms. The calculation puts the calculated density at 8.24 g/cm3.

[11]
First-principles (PBE) data for MnSi2Rh after structural relaxation, as listed in Alexandria.

Cell and atoms, written as POSCAR:
```
MnSi2Rh
1.0
-3.275 3.275 2.709
3.275 -3.275 2.709
3.275 3.275 -2.709
Mn Si Rh
2 4 2
direct
0.000 0.000 0.000
0.750 0.250 0.500
0.132 0.125 0.507
0.375 0.868 0.993
0.618 0.625 0.493
0.875 0.382 0.007
0.250 0.750 0.500
0.500 0.500 0.000
```

## Properties
Its space group is I-42d, No. 122. The size of the total moment is 5.49 μB per cell. As for the raw formation energy: 1.5 kJ per mole of atoms. The calculation puts the calculated density at 6.11 g/cm3.

[12]
First-principles (PBE) data for Mn2SiRh after structural relaxation, as listed in Alexandria.

Cell and atoms, written as POSCAR:
```
Mn2SiRh
1.0
3.586 0.000 0.000
0.000 1.380 5.243
0.000 -1.380 5.243
Mn Si Rh
2 1 1
direct
0.000 0.000 0.000
0.500 0.359 0.359
0.000 0.769 0.769
0.500 0.620 0.620
```

## Properties
Its space group is Amm2, No. 38. The size of the total moment is 4.71 μB per cell. As for the raw formation energy: -21.6 kJ per mole of atoms. The calculation puts the calculated density at 7.71 g/cm3.

[13]
First-principles (PBE) data for MnSiRh4 after structural relaxation, as listed in Alexandria.

Cell and atoms, written as POSCAR:
```
MnSiRh4
1.0
0.000 3.597 3.597
3.597 0.000 3.597
3.597 3.597 0.000
Mn Si Rh
1 1 4
direct
0.000 0.000 0.000
0.750 0.750 0.750
0.375 0.375 0.375
0.375 0.375 0.874
0.375 0.874 0.375
0.874 0.375 0.375
```

## Properties
Its space group is F-43m, No. 216. The size of the total moment is 4.52 μB per cell. As for the raw formation energy: 26.1 kJ per mole of atoms. The calculation puts the calculated density at 8.82 g/cm3.

[14]
First-principles (PBE) data for MnSi2Rh after structural relaxation, as listed in Alexandria.

Cell and atoms, written as POSCAR:
```
MnSi2Rh
1.0
3.863 -1.374 0.000
3.863 1.374 0.000
-1.045 0.000 4.788
Mn Si Rh
1 2 1
direct
0.000 0.000 0.000
0.252 0.252 0.771
0.748 0.748 0.229
0.500 0.500 0.500
```

## Properties
Its space group is C2/m, No. 12. The size of the total moment is 1.49 μB per cell. As for the raw formation energy: -36.8 kJ per mole of atoms. The calculation puts the calculated density at 6.99 g/cm3.